# 1
Density functional theory data (GGA-PBEsol) for an optimized crystal structure of EuI2.

Calculated values
* uncorrected formation energy: -1.58 eV/atom
* calculated volume: 916 Å³ per cell

a = 7.6940 Å, b = 14.7629 Å, c = 8.0657 Å
α = 90.00°, β = 90.00°, γ = 90.00°
With the nearest neighbours (Å) after each atom.
Space group Pbca (No. 61)
Symmetry-distinct sites (fractional):
Eu (0.2227, 0.1076, 0.0544) [8 per cell]  7 I 3.21-3.33
I (0.0076, 0.0373, 0.7290) [8 per cell]  4 Eu 3.27-3.33
I (0.1637, 0.7017, 0.3961) [8 per cell]  3 Eu 3.21-3.31



# 2
Density functional theory data (GGA-PBEsol) for an optimized crystal structure of EuI2.

Calculated values
* uncorrected formation energy: -1.58 eV/atom
* calculated volume: 462 Å³ per cell

a = 7.4209 Å, b = 8.1023 Å, c = 7.7603 Å
α = 90.00°, β = 98.28°, γ = 90.00°
With the nearest neighbours (Å) after each atom.
Space group P2_1/c (No. 14)
Symmetry-distinct sites (fractional):
Eu (0.2090, 0.0555, 0.3085) [4 per cell]  7 I 3.20-3.32
I (0.0816, 0.7266, 0.5043) [4 per cell]  4 Eu 3.27-3.32
I (0.4035, 0.1110, 0.7113) [4 per cell]  3 Eu 3.20-3.28